[1]
# PuFe2Re

PuFe2Re after structural relaxation (PBE-GGA, Alexandria).

Structure (CIF):
```
data_PuFe2Re
_symmetry_space_group_name_H-M 'P 4/m m m'
_symmetry_Int_Tables_number 123
_symmetry_space_group_name_Hall '-P 4 2'
_cell_length_a 4.162
_cell_length_b 4.162
_cell_length_c 3.466
_cell_angle_alpha 90.00
_cell_angle_beta 90.00
_cell_angle_gamma 90.00
loop_
_atom_site_label
_atom_site_fract_x
_atom_site_fract_y
_atom_site_fract_z
_atom_site_occupancy
Pu1 0.000 0.000 0.000 1
Fe1 0.000 0.500 0.500 1
Re1 0.500 0.500 0.000 1
```

Output
D(E_F) = 5.21 states/eV/cell
E = -42.84 eV per cell
energy above the lowest structure with this stoichiometry = 33 meV per atom
formation energy = 21 kJ/mol of atoms


[2]
# P2HPtCl

P2HPtCl after structural relaxation (PBE-GGA, Alexandria).

Structure (CIF):
```
data_P2HPtCl
_symmetry_space_group_name_H-M 'P 4/m m m'
_symmetry_Int_Tables_number 123
_symmetry_space_group_name_Hall '-P 4 2'
_cell_length_a 3.769
_cell_length_b 3.769
_cell_length_c 4.777
_cell_angle_alpha 90.00
_cell_angle_beta 90.00
_cell_angle_gamma 90.00
loop_
_atom_site_label
_atom_site_fract_x
_atom_site_fract_y
_atom_site_fract_z
_atom_site_occupancy
P1 0.000 0.500 0.000 1
H1 0.000 0.000 0.000 1
Pt1 0.500 0.500 0.500 1
Cl1 0.000 0.000 0.500 1
```

Output
D(E_F) = 3.80 states/eV/cell
E = -17.97 eV per cell
energy above the lowest structure with this stoichiometry = 0 meV per atom


[3]
# Sn3PdI

Sn3PdI after structural relaxation (PBE-GGA, Alexandria).

Structure (CIF):
```
data_Sn3PdI
_symmetry_space_group_name_H-M 'P m -3 m'
_symmetry_Int_Tables_number 221
_symmetry_space_group_name_Hall '-P 4 2 3'
_cell_length_a 5.320
_cell_length_b 5.320
_cell_length_c 5.320
_cell_angle_alpha 90.00
_cell_angle_beta 90.00
_cell_angle_gamma 90.00
loop_
_atom_site_label
_atom_site_fract_x
_atom_site_fract_y
_atom_site_fract_z
_atom_site_occupancy
Sn1 0.000 0.000 0.500 1
Pd1 0.000 0.000 0.000 1
I1 0.500 0.500 0.500 1
```

Output
D(E_F) = 2.50 states/eV/cell
E = -18.82 eV per cell
formation energy (no corrections) = -0.014 eV per atom
energy above the lowest structure with this stoichiometry = 0 meV per atom


[4]
# SmHo2OsN4

SmHo2OsN4 after structural relaxation (PBE-GGA, Alexandria).

Structure (CIF):
```
data_SmHo2OsN4
_symmetry_space_group_name_H-M 'C m c m'
_symmetry_Int_Tables_number 63
_symmetry_space_group_name_Hall '-C 2c 2'
_cell_length_a 3.410
_cell_length_b 11.639
_cell_length_c 11.620
_cell_angle_alpha 90.00
_cell_angle_beta 90.00
_cell_angle_gamma 90.00
loop_
_atom_site_label
_atom_site_fract_x
_atom_site_fract_y
_atom_site_fract_z
_atom_site_occupancy
Sm1 0.000 0.123 0.250 1
Ho1 0.000 0.369 0.041 1
Os1 0.000 0.140 0.750 1
N1 0.000 0.000 0.000 1
N2 0.000 0.267 0.628 1
N3 0.000 0.445 0.250 1
```

Output
D(E_F) = 10.47 states/eV/cell
E = -264.89 eV per cell
formation energy (no corrections) = -0.977 eV per atom


no.,magnetic moment (μB per atom)
1,0.161
2,0.000
3,0.000
4,0.000